## CuNi3B (PBE)

Data for a relaxed CuNi3B crystal.

a b c (Å): 3.789 3.789 3.789
angles (deg): 90.00 90.00 90.00
Positions (direct):
Ni 0.500 0.000 0.000
Ni 0.000 0.500 0.000
Ni 0.000 0.000 0.500
B 0.000 0.000 0.000
Cu 0.500 0.500 0.500

The density of states at the Fermi level is 0.21 states/eV/atom. For the energy of formation from the pure elements, the calculation gives 0.01 eV per atom. The symmetry is No. 221. The value obtained for the volume is 54.41 Å³/cell. Its uncorrected energy is -28.1 eV per formula unit. The total magnetization comes out at 0.00 μB per formula unit. The calculation puts the distance to the lowest polymorph of the same formula at 0.095 eV per atom.